one:
Material: Sm2YTi
Method: DFT, GGA-PBE
State: optimized geometry

The structure in POSCAR format:
```
Sm2YTi
1.0
-1.103 1.675 -2.736
-3.266 -0.184 -0.900
-3.850 9.951 5.539
Y Sm Ti
1 2 1
Cartesian
-4.109 5.721 0.951
-4.963 3.840 -1.958
-3.255 7.602 3.861
0.000 0.000 0.000
```

Computed properties:
V (Å³ per atom): 29.6
Mass density (Mg/m³): 6.1

two:
Material: Sm2YTi
Method: DFT, GGA-PBE
State: optimized geometry

The structure in POSCAR format:
```
Sm2YTi
1.0
-2.073 0.766 2.943
2.071 -2.252 2.044
5.242 6.610 1.972
Y Sm Ti
1 2 1
Cartesian
2.620 2.561 3.480
1.110 1.400 0.418
4.132 5.210 1.555
-0.001 -0.743 2.494
```

Computed properties:
V (Å³ per atom): 29.3
Mass density (Mg/m³): 6.2

Quick one: most stable of them? two

one:
Material: SmTiZn
Method: DFT, GGA-PBE
State: optimized geometry

The structure in POSCAR format:
```
SmTiZn
1.0
-0.097 -3.450 -3.254
-1.515 0.526 2.945
-8.602 5.309 -5.372
Ti Sm Zn
2 2 2
Cartesian
-3.882 -0.201 -3.129
-6.033 1.127 -4.472
-2.187 0.508 -0.473
-7.631 3.868 -3.873
-0.657 -2.192 -1.114
-4.909 2.188 -2.173
```

Computed properties:
V (Å³ per atom): 21.5
Mass density (Mg/m³): 6.8

two:
Material: SmTiZn
Method: DFT, GGA-PBE
State: optimized geometry

The structure in POSCAR format:
```
SmTiZn
1.0
3.291 0.000 0.000
0.000 3.291 0.000
-1.646 -1.646 5.908
Zn Sm Ti
1 1 1
Cartesian
1.646 1.646 2.234
1.646 1.646 5.899
0.000 0.000 3.682
```

Computed properties:
V (Å³ per atom): 21.3
Mass density (Mg/m³): 6.8

Quick one: most stable of them? two